A PBEsol-optimized structure of InBiH2Br. Source: Alexandria, functional meta-GGA SCAN.

It has space group P4/mmm (No. 123), with a = 4.1112 Å, b = 4.1112 Å, c = 6.7720 Å, α = 90.00°, β = 90.00° and γ = 90.00°. The asymmetric unit holds In at (0.0000, 0.0000, 0.0000), Bi at (0.5000, 0.5000, 0.0000), H at (0.0000, 0.5000, 0.5000) and Br at (0.5000, 0.5000, 0.5000).

As for the magnetization: 0.00 μB/cell. Its electronic total energy is -134.9 eV/f.u.